# 1
Entry from Alexandria via LeMat-Bulk: a relaxed KCd6Cl12 crystal (PBE).

abc: 9.039 9.039 9.039
angles: 110.34 110.34 110.34
Fractional positions:
Cl (0.165, 0.436, 0.436)
Cl (0.835, 0.564, 0.564)
Cl (0.110, 0.890, 0.500)
Cl (0.436, 0.436, 0.165)
Cl (0.500, 0.890, 0.110)
Cl (0.436, 0.165, 0.436)
Cl (0.110, 0.500, 0.890)
Cl (0.890, 0.500, 0.110)
Cl (0.500, 0.110, 0.890)
Cl (0.564, 0.564, 0.835)
Cl (0.564, 0.835, 0.564)
Cl (0.890, 0.110, 0.500)
K (0.000, 0.000, 0.000)
Cd (0.763, 0.763, 0.401)
Cd (0.237, 0.237, 0.599)
Cd (0.237, 0.599, 0.237)
Cd (0.763, 0.401, 0.763)
Cd (0.599, 0.237, 0.237)
Cd (0.401, 0.763, 0.763)

DOS(E_F) = 0.148 states/eV per atom
E = -2.43 eV per atom

# 2
Entry from Alexandria via LeMat-Bulk: a relaxed DyPuNiRh crystal (PBE).

abc: 4.817 4.817 4.817
angles: 60.00 60.00 60.00
Each line ends with the local moment (μB).
Fractional positions:
Rh (0.500, 0.500, 0.500)  -0.15
Dy (0.750, 0.750, 0.750)  0.16
Ni (0.000, 0.000, 0.000)  -0.06
Pu (0.250, 0.250, 0.250)  5.14

DOS(E_F) = 2.838 states/eV per atom
formation energy from the elements = -397 meV/atom
E = -8.41 eV per atom

# 3
Entry from Alexandria via LeMat-Bulk: a relaxed Li2CoSe crystal (PBE).

abc: 3.508 3.495 5.908
angles: 53.58 90.00 90.00
Each line ends with the local moment (μB).
Fractional positions:
Se (0.500, 0.250, 0.250)  0.09
Li (0.000, 0.994, 0.004)  -0.03
Li (0.000, 0.506, 0.496)  -0.03
Co (0.500, 0.750, 0.750)  1.47

DOS(E_F) = 0.782 states/eV per atom
E = -3.83 eV per atom

# 4
Entry from Alexandria via LeMat-Bulk: a relaxed Sm3Ho2Tm crystal (PBE).

abc: 7.195 6.235 9.575
angles: 102.53 112.07 90.00
Fractional positions:
Sm (0.127, 0.750, 0.000)
Sm (0.873, 0.250, 0.000)
Sm (0.707, 0.474, 0.666)
Sm (0.958, 0.974, 0.666)
Sm (0.042, 0.026, 0.334)
Sm (0.293, 0.526, 0.334)
Tm (0.623, 0.750, 0.000)
Tm (0.377, 0.250, 0.000)
Ho (0.210, 0.471, 0.668)
Ho (0.542, 0.029, 0.332)
Ho (0.458, 0.971, 0.668)
Ho (0.790, 0.529, 0.332)

DOS(E_F) = 1.285 states/eV per atom
formation energy from the elements = 6 meV/atom
E = -4.62 eV per atom